MnB4: PBEsol geometry, SCAN.

Summary:
formation enthalpy at 0 K = -281.5 meV per atom
SG = Immm, No. 71
energy above the lowest structure with this stoichiometry = 14 meV/atom

a = 2.932 Å, b = 3.814 Å, c = 3.814 Å
α = 73.88°, β = 67.40°, γ = 67.40°
Element x y z (fractional)
B 0.659 0.544 0.137
B 0.659 0.137 0.544
B 0.341 0.456 0.863
B 0.341 0.863 0.456
Mn 0.000 0.000 0.000